1.
VASP calculation (GGA-PBE) on a geometry-optimized Tb5Ho2Mg structure.

Properties
- DFT total energy (Ry/atom) = -0.308
- energy of formation (eV/f.u.) = 0.39
- E above lowest polymorph (meV per atom) = 31

extended XYZ file:
```
16
Lattice="3.565 0.000 0.000 -0.009 8.622 0.000 -1.777 -2.600 16.103" Properties=species:S:1:pos:R:3 pbc="T T T"
Tb -0.006 3.976 1.487
Tb 0.000 0.739 2.473
Tb -0.005 6.072 4.132
Tb -0.003 2.963 6.613
Tb -0.007 5.905 10.512
Tb 1.785 0.117 5.590
Tb 1.781 3.059 9.489
Tb 1.783 -0.050 11.971
Tb 1.778 5.283 13.630
Tb 1.785 2.046 14.616
Ho 0.002 0.132 8.720
Ho 0.001 -0.852 15.453
Ho 1.777 6.874 0.650
Ho 1.776 5.890 7.383
Mg 0.000 2.861 12.108
Mg 1.778 3.161 3.994
```

=====

2.
VASP calculation (GGA-PBE) on a geometry-optimized Tb7Ho2Mg structure.

Properties
- DFT total energy (Ry/atom) = -0.269
- energy of formation (eV/f.u.) = 6.62

extended XYZ file:
```
10
Lattice="4.339 -8.110 0.000 4.339 8.110 0.000 0.000 0.000 5.414" Properties=species:S:1:pos:R:3 pbc="T T T"
Tb 0.000 0.000 0.000
Tb 2.796 1.762 0.000
Tb 4.339 3.361 2.707
Tb 2.796 -1.762 0.000
Tb 5.883 1.762 0.000
Tb 4.339 -3.361 2.707
Tb 5.883 -1.762 0.000
Ho 4.339 4.764 0.000
Ho 4.339 -4.764 0.000
Mg 4.339 0.000 2.707
```